# 1
Below is a relaxed structure of BeMoPt, with properties calculated at the PBE level.

The formation enthalpy at 0 K is -0.2834 eV/atom. The calculation puts the electronic total energy at -7.1495 eV/atom. The calculation puts the density of states at the Fermi level at 3.10 states/eV per cell. The energy relative to the lowest polymorph listed for this composition comes out at 0.1230 eV/atom.

The structure belongs to space group P2/m (No. 10); the cell edges are 4.954, 2.732 and 6.180 Å and the angles 90.00°, 104.01° and 90.00°. The asymmetric unit holds Be at (0.229, 0.000, 0.001), Mo at (0.104, 0.500, 0.313) and Pt at (0.391, 0.000, 0.687).



# 2
Below is a relaxed structure of Ti2VN, with properties calculated at the PBE level.

The calculation puts the raw formation energy at -0.6318 eV/atom. The calculation puts the electronic total energy at -8.9402 eV/atom. The calculation puts the density of states at the Fermi level at 6.97 states/eV per cell. The energy relative to the lowest polymorph listed for this composition comes out at 0.2141 eV/atom.

The structure belongs to space group R-3m (No. 166, hexagonal axes); the cell edges are 2.9094, 2.9094 and 21.9278 Å and the angles 90.00°, 90.00° and 120.00°. The asymmetric unit holds Ti at (0.0000, 0.0000, 0.1119), V at (0.0000, 0.0000, 0.0000) and N at (0.0000, 0.0000, 0.5000).



# 3
Below is a relaxed structure of MnSi, with properties calculated at the PBE level.

The calculation puts the raw formation energy at 0.1150 eV/atom. The calculation puts the electronic total energy at -7.1813 eV/atom. The calculation puts the density of states at the Fermi level at 3.47 states/eV per cell.

The structure belongs to space group P-3m1 (No. 164); the cell edges are 2.6369, 2.6369 and 7.8947 Å and the angles 90.00°, 90.00° and 120.00°. The asymmetric unit holds Mn at (0.3333, 0.6667, 0.1166) and Si at (0.3333, 0.6667, 0.6432).



# 4
Below is a relaxed structure of Pm3Ag3SbS8, with properties calculated at the PBE level.

The calculation puts the raw formation energy at -1.0217 eV/atom. The calculation puts the electronic total energy at -5.0182 eV/atom. The calculation puts the density of states at the Fermi level at 3.55 states/eV per cell.

The structure belongs to space group C2/m (No. 12); the cell edges are 13.230, 8.167 and 7.797 Å and the angles 90.00°, 121.97° and 90.00°. The asymmetric unit holds Pm at (0.000, 0.000, 0.000), Pm at (0.250, 0.250, 0.500), Ag at (0.000, 0.500, 0.500), Ag at (0.250, 0.250, 0.000), Sb at (0.000, 0.500, 0.000), S at (0.002, 0.266, 0.766), S at (0.236, 0.500, 0.233) and S at (0.249, 0.000, 0.253).